Mn2ZnOs: optimized geometry, PBE.

Structure (POSCAR):
```
Mn2ZnOs
1.0
2.6664 0.0000 -0.0029
0.0000 2.6665 0.0000
0.0148 0.0000 14.5695
Mn Zn Os
4 2 2
Direct
0.2496 0.2500 0.6961
0.7504 0.7500 0.3039
0.2498 0.2500 0.9411
0.7502 0.7500 0.0589
0.2504 0.2500 0.4302
0.7496 0.7500 0.5698
0.2503 0.2500 0.1783
0.7497 0.7500 0.8217
```

energy relative to the elements: 0.3 eV/f.u.
total DFT energy (no corrections): -7.63 eV/atom
crystal system: tetragonal

---

InOsAu2: optimized geometry, PBE.

Structure (POSCAR):
```
InOsAu2
1.0
-1.8928 -3.1539 -1.7517
1.2045 -2.4171 3.0504
-3.5245 0.9320 2.1303
Au In Os
2 1 1
Direct
0.0000 0.0000 0.0000
0.5000 0.5000 0.0000
0.5000 0.0000 0.5000
0.0000 0.5000 0.5000
```

energy relative to the elements: 1.4 eV/f.u.
total DFT energy (no corrections): -4.78 eV/atom
crystal system: tetragonal

---

Zn4Pt: optimized geometry, PBE.

Structure (POSCAR):
```
Zn4Pt
1.0
4.6706 2.1005 4.7674
4.9587 4.8789 0.7494
-6.4688 -1.9535 -1.8147
Zn Pt
4 1
Direct
0.7500 0.2500 0.5000
0.5936 0.5936 0.0000
0.4064 0.4064 0.0000
0.2500 0.7500 0.5000
0.0000 0.0000 0.0000
```

energy relative to the elements: -0.1 eV/f.u.
total DFT energy (no corrections): -2.26 eV/atom
crystal system: tetragonal

---

KBaSi2F: optimized geometry, PBE.

Structure (POSCAR):
```
KBaSi2F
1.0
5.2373 0.0000 0.0000
0.0000 7.2613 0.0000
0.0000 0.0000 5.2373
K Si Ba F
1 2 1 1
Direct
0.0000 0.0000 0.0000
0.0000 0.0000 0.5000
0.5000 0.0000 0.0000
0.0000 0.5000 0.0000
0.5000 0.5000 0.5000
```

formation energy without anion corrections: 73.0 kJ per mole of atoms
total DFT energy (no corrections): -2.39 eV/atom
crystal system: tetragonal

---

Pr8Ag2Rh: optimized geometry, PBE.

Structure (POSCAR):
```
Pr8Ag2Rh
1.0
6.2400 -0.3171 -1.2989
-2.7396 7.3695 -4.6849
-0.3505 -1.6540 8.9947
Pr Ag Rh
8 2 1
Direct
0.6526 0.3903 0.1580
0.6526 0.1580 0.3903
0.1481 0.2841 0.2841
0.9827 0.1954 0.8062
0.9827 0.8062 0.1954
0.7649 0.7376 0.7376
0.2874 0.8434 0.6101
0.2874 0.6101 0.8434
0.4793 0.7229 0.2841
0.4793 0.2841 0.7229
0.2828 0.0018 0.0018
```

energy relative to the elements: -1.6 eV/f.u.
total DFT energy (no corrections): -4.81 eV/atom
crystal system: monoclinic

---

Sr3Ir5: optimized geometry, PBE.

Structure (POSCAR):
```
Sr3Ir5
1.0
9.7955 0.0000 0.0000
-4.8977 8.4831 0.0000
0.0000 0.0000 4.7542
Sr Ir
6 10
Direct
0.6293 0.0000 0.2500
0.3709 0.0000 0.7500
0.0000 0.6293 0.2500
0.3707 0.3707 0.2500
0.6291 0.6292 0.7500
0.0000 0.3709 0.7500
0.3333 0.6667 0.0000
0.6667 0.3333 0.5000
0.6667 0.3333 0.0000
0.3333 0.6667 0.5000
0.1500 0.0000 0.2500
0.8502 0.0000 0.7500
0.0000 0.1500 0.2500
0.8500 0.8500 0.2500
0.1499 0.1499 0.7500
0.0000 0.8502 0.7500
```

energy relative to the elements: 2.0 eV/f.u.
total DFT energy (no corrections): -5.91 eV/atom
crystal system: hexagonal

---

SiRh2IF: optimized geometry, PBE.

Structure (POSCAR):
```
SiRh2IF
1.0
4.9142 0.0000 0.0000
0.0000 4.2657 0.0000
0.0000 0.0000 4.9142
I Si Rh F
1 1 2 1
Direct
0.0000 0.0000 0.0000
0.5000 0.5000 0.5000
0.0000 0.0000 0.5000
0.5000 0.0000 0.0000
0.0000 0.5000 0.0000
```

formation energy without anion corrections: 65.6 kJ per mole of atoms
total DFT energy (no corrections): -4.03 eV/atom
crystal system: tetragonal

---

In2AsPd6: optimized geometry, PBE.

Structure (POSCAR):
```
In2AsPd6
1.0
3.5010 0.0000 0.0000
0.0000 7.0958 0.0000
0.0000 -3.5479 6.1453
In As Pd
2 1 6
Direct
0.0000 0.3333 0.6667
0.0000 0.6667 0.3333
0.5000 0.0000 0.0000
0.5000 0.6147 0.0000
0.5000 0.3853 0.3853
0.5000 0.0000 0.6147
0.0000 0.2531 0.0000
0.0000 0.7469 0.7469
0.0000 0.0000 0.2531
```

energy relative to the elements: -4.1 eV/f.u.
total DFT energy (no corrections): -5.05 eV/atom
crystal system: hexagonal

---

| no. | volume (Å³ per cell) | mass density (g cm⁻³) | magnetization (μB per formula unit) |
| --- | --- | --- | --- |
| 1 | 103.6 | 11.72 | 2.8 |
| 2 | 70.1 | 16.56 | 0.0 |
| 3 | 78.5 | 9.66 | 0.0 |
| 4 | 199.2 | 2.10 | 0.0 |
| 5 | 347.7 | 6.91 | 0.0 |
| 6 | 395.1 | 10.29 | 0.3 |
| 7 | 103.0 | 6.12 | 0.0 |
| 8 | 152.7 | 10.26 | 0.0 |